The following is a DFT calculation (PBE-GGA) of a relaxed structure of LaPPbS2.

It has space group P4/mmm (No. 123), with a = 5.447 Å, b = 5.447 Å, c = 5.445 Å, α = 90.00°, β = 90.00° and γ = 90.00°. The distinct sites, in fractional coordinates, are La at (0.000, 0.000, 0.000), P at (0.000, 0.000, 0.500), Pb at (0.500, 0.500, 0.500) and S at (0.000, 0.500, 0.000).

For the total energy, the calculation gives -23.207 eV/f.u. For the energy relative to the elements, uncorrected, the calculation gives -0.181 eV/atom. The calculated density is 4.54 g/cm3.

=====

The following is a DFT calculation (PBE-GGA) of a relaxed structure of LaPPbSe2.

It has space group P4/mmm (No. 123), with a = 5.690 Å, b = 5.690 Å, c = 5.435 Å, α = 90.00°, β = 90.00° and γ = 90.00°. The distinct sites, in fractional coordinates, are La at (0.000, 0.000, 0.000), P at (0.000, 0.000, 0.500), Pb at (0.500, 0.500, 0.500) and Se at (0.000, 0.500, 0.000).

For the total energy, the calculation gives -21.824 eV/f.u. For the energy relative to the elements, uncorrected, the calculation gives -0.162 eV/atom. The calculated density is 5.05 g/cm3.

=====

The following is a DFT calculation (PBE-GGA) of a relaxed structure of La6P2PbSe3.

It has space group C2/m (No. 12), with a = 19.063 Å, b = 4.361 Å, c = 8.778 Å, α = 90.00°, β = 103.21° and γ = 90.00°. The distinct sites, in fractional coordinates, are La at (0.005, 0.000, 0.263), La at (0.171, 0.500, 0.099), La at (0.171, 0.500, 0.574), P at (0.169, 0.000, 0.337), Pb at (0.000, 0.500, 0.000), Se at (0.000, 0.500, 0.500) and Se at (0.165, 0.000, 0.832).

For the total energy, the calculation gives -74.240 eV/f.u. For the energy relative to the elements, uncorrected, the calculation gives -1.641 eV/atom. The calculated density is 6.26 g/cm3.

=====

The following is a DFT calculation (PBE-GGA) of a relaxed structure of LaTlP2Pb.

It has space group P4/mmm (No. 123), with a = 5.513 Å, b = 5.513 Å, c = 6.217 Å, α = 90.00°, β = 90.00° and γ = 90.00°. The distinct sites, in fractional coordinates, are La at (0.000, 0.000, 0.000), Tl at (0.500, 0.500, 0.500), P at (0.000, 0.500, 0.000) and Pb at (0.000, 0.000, 0.500).

For the total energy, the calculation gives -19.474 eV/f.u. The calculated density is 5.38 g/cm3. The calculation puts the energy of formation from the pure elements at 470 meV/atom.

=====

The following is a DFT calculation (PBE-GGA) of a relaxed structure of La2YPPb.

It has space group P4/mmm (No. 123), with a = 5.582 Å, b = 5.582 Å, c = 5.286 Å, α = 90.00°, β = 90.00° and γ = 90.00°. The distinct sites, in fractional coordinates, are La at (0.000, 0.500, 0.000), Y at (0.000, 0.000, 0.500), P at (0.000, 0.000, 0.000) and Pb at (0.500, 0.500, 0.500).

For the total energy, the calculation gives -29.318 eV/f.u. The calculated density is 6.10 g/cm3. The calculation puts the energy of formation from the pure elements at -776 meV/atom.

=====

The following is a DFT calculation (PBE-GGA) of a relaxed structure of LaY2PPb.

It has space group P4/mmm (No. 123), with a = 5.282 Å, b = 5.282 Å, c = 5.571 Å, α = 90.00°, β = 90.00° and γ = 90.00°. The distinct sites, in fractional coordinates, are La at (0.000, 0.000, 0.000), Y at (0.000, 0.500, 0.500), P at (0.000, 0.000, 0.500) and Pb at (0.500, 0.500, 0.000).

For the total energy, the calculation gives -30.809 eV/f.u. The calculated density is 5.93 g/cm3. The calculation puts the energy of formation from the pure elements at -767 meV/atom.